Entry 1:
Entry from the Alexandria database: a relaxed BeGeTe crystal (PBE).

Values from the calculation:
Volume   71 Å³/f.u.
Energy above the most stable polymorph in this dataset   36 meV/atom
Magnetic moment   0.0000 μB per atom
ΔE_f (raw)   0.104 eV per atom
Theoretical density   4.895 g cm⁻³

abc: 3.934 4.627 8.105
angles: 100.25 100.32 94.38
Fractional positions:
Be1 0.000 0.000 0.000
Be2 0.018 0.658 0.776
Ge1 0.539 0.634 0.947
Ge2 0.850 0.154 0.736
Te1 0.246 0.856 0.540
Te2 0.568 0.239 0.161

---

Entry 2:
Entry from the Alexandria database: a relaxed Be2GeTe crystal (PBE).

Values from the calculation:
Volume   81 Å³/f.u.
Energy above the most stable polymorph in this dataset   0 meV/atom
Magnetic moment   0.0000 μB per atom
ΔE_f (raw)   0.269 eV per atom
Theoretical density   4.487 g cm⁻³

abc: 6.431 6.431 6.431
angles: 127.72 127.72 77.08
Fractional positions:
Be1 0.113 0.625 0.988
Be2 0.375 0.363 0.488
Be3 0.637 0.125 0.012
Be4 0.875 0.887 0.512
Ge1 0.000 0.000 0.000
Ge2 0.750 0.250 0.500
Te1 0.250 0.750 0.500
Te2 0.500 0.500 0.000

---

Entry 3:
Entry from the Alexandria database: a relaxed Be3GeTe crystal (PBE).

Values from the calculation:
Volume   102 Å³/f.u.
Energy above the most stable polymorph in this dataset   705 meV/atom
Magnetic moment   0.0000 μB per atom
ΔE_f (raw)   1.366 eV per atom
Theoretical density   3.716 g cm⁻³

abc: 4.666 4.666 4.666
angles: 90.00 90.00 90.00
Fractional positions:
Be1 0.000 0.000 0.500
Be2 0.000 0.500 0.000
Be3 0.500 0.000 0.000
Ge1 0.500 0.500 0.500
Te1 0.000 0.000 0.000